Density functional theory data (PBE) for crystalline MgAl2Tl at its relaxed geometry.

Unit cell a=5.4280 b=5.4280 c=5.4280 alpha=132.78 beta=132.78 gamma=69.00
Atoms (fractional coordinates):
1 Al 0.0000 0.0000 0.0000
2 Al 0.2500 0.7500 0.5000
3 Mg 0.5000 0.5000 0.0000
4 Tl 0.7500 0.2500 0.5000

Properties
E_form in meV/atom: 160
Space-group type: I-4m2
Uncorrected energy in eV/atom: -2.70